1.
Density functional theory data (PBE) for a geometry-optimized CaCd2Au structure.

Unit cell a=10.8282 b=3.9346 c=4.9167 alpha=90.00 beta=115.90 gamma=90.00
Space group C2/m (No. 12)
One atom of each set of equivalent atoms:
Ca 0.0000 0.0000 0.0000 x2
Cd 0.2257 0.0000 0.7239 x4
Au 0.0000 0.5000 0.5000 x2

Formation energy ... -1.51 eV/f.u.
Fermi-level density of states ... 3.0 states/eV per cell

---

2.
Density functional theory data (PBE) for a geometry-optimized Ca6CdAu structure.

Unit cell a=5.3555 b=5.3555 c=18.9094 alpha=90.00 beta=90.00 gamma=90.00
Space group I4/mmm (No. 139)
One atom of each set of equivalent atoms:
Ca 0.0000 0.0000 0.2482 x4
Ca 0.0000 0.5000 0.0952 x8
Cd 0.0000 0.0000 0.0000 x2
Au 0.0000 0.0000 0.5000 x2

Formation energy ... -2.27 eV/f.u.
Fermi-level density of states ... 16.3 states/eV per cell